(1)
Material: PuRhN
Method: DFT, PBE
State: relaxed

Cell lengths 3.4160, 3.4160, 7.5854 Å; angles 90.00, 90.00, 90.00 degrees
Last column: magnetic moment on the atom in μB.
Positions (direct):
N 0.5000 0.0000 0.1283  -0.21
N 0.0000 0.5000 0.8717  -0.21
Rh 0.0000 0.5000 0.5896  -0.63
Rh 0.5000 0.0000 0.4104  -0.63
Pu 0.5000 0.0000 0.8252  4.49
Pu 0.0000 0.5000 0.1748  4.49

- Space group: P4/nmm, No. 129
- Total energy: -32.2 eV per formula unit
- N(E_F): 2.532 states/eV per atom
- Magnetization: 7.555 μB/cell

---

(2)
Material: Sm4NpN4
Method: DFT, PBE
State: relaxed

Cell lengths 5.7347, 5.7347, 6.9202 Å; angles 114.48, 114.48, 90.00 degrees
Last column: magnetic moment on the atom in μB.
Positions (direct):
Sm 0.5000 0.0000 0.0000  0.00
Sm 0.0000 0.5000 0.0000  0.00
Sm 0.2854 0.2854 0.5708  -0.06
Sm 0.7146 0.7146 0.4292  -0.06
Np 0.0000 0.0000 0.0000  2.19
N 0.9116 0.3397 0.2512  -0.03
N 0.3397 0.9116 0.2512  -0.03
N 0.6603 0.6603 0.7488  -0.03
N 0.0884 0.0884 0.7488  -0.03

- Space group: I-42m, No. 121
- Total energy: -71.6 eV per formula unit
- N(E_F): 0.725 states/eV per atom
- Magnetization: 1.695 μB/cell

---

(3)
Material: Cs2AlBiH
Method: DFT, PBE
State: relaxed

Cell lengths 6.3986, 6.3986, 4.3733 Å; angles 90.00, 90.00, 90.00 degrees
Positions (direct):
H 0.0000 0.0000 0.0000
Cs 0.0000 0.5000 0.0000
Cs 0.5000 0.0000 0.0000
Al 0.0000 0.0000 0.5000
Bi 0.5000 0.5000 0.5000

- Space group: P4/mmm, No. 123
- Total energy: -11.7 eV per formula unit
- N(E_F): 0.426 states/eV per atom
- Magnetization: 0.000 μB/cell